1.
First-principles (PBE) data for crystalline Cd2PtSe at its relaxed geometry, as listed in Alexandria via LeMat-Bulk.

a = 3.826 Å, b = 3.826 Å, c = 5.770 Å
α = 90.00°, β = 90.00°, γ = 90.00°
Element x y z (fractional)
Pt: 0.000 0.000 0.436
Se: 0.500 0.500 0.798
Cd: 0.000 0.000 0.960
Cd: 0.500 0.500 0.306

Output
The calculation puts the formation energy without anion corrections at -0.10 eV per atom. Its electronic total energy is -2.9411 eV per atom. As for the density of states at the Fermi level: 1.17 states/eV/cell.


2.
First-principles (PBE) data for crystalline Cd2PtSe at its relaxed geometry, as listed in Alexandria via LeMat-Bulk.

a = 4.804 Å, b = 4.804 Å, c = 4.804 Å
α = 60.00°, β = 60.00°, γ = 60.00°
Element x y z (fractional)
Pt: 0.500 0.500 0.500
Cd: 0.000 0.000 0.000
Se: 0.750 0.750 0.750
Cd: 0.250 0.250 0.250

Output
The calculation puts the formation energy without anion corrections at 0.04 eV per atom. Its electronic total energy is -2.8033 eV per atom. As for the density of states at the Fermi level: 0.41 states/eV/cell.


3.
First-principles (PBE) data for crystalline CdPt2Se at its relaxed geometry, as listed in Alexandria via LeMat-Bulk.

a = 4.825 Å, b = 4.825 Å, c = 3.036 Å
α = 90.00°, β = 90.00°, γ = 97.16°
Element x y z (fractional)
Pt: 0.000 0.000 0.000
Se: 0.500 0.000 0.500
Cd: 0.000 0.500 0.500
Pt: 0.500 0.500 0.000

Output
The calculation puts the formation energy without anion corrections at 0.01 eV per atom. Its electronic total energy is -4.1088 eV per atom. As for the density of states at the Fermi level: 0.77 states/eV/cell.


4.
First-principles (PBE) data for crystalline Cd2PtSe at its relaxed geometry, as listed in Alexandria via LeMat-Bulk.

a = 3.143 Å, b = 3.143 Å, c = 8.121 Å
α = 90.00°, β = 90.00°, γ = 90.10°
Element x y z (fractional)
Cd: 0.000 0.000 0.472
Se: 0.500 0.500 0.750
Pt: 0.500 0.500 0.250
Cd: 0.000 0.000 0.028

Output
The calculation puts the formation energy without anion corrections at -0.10 eV per atom. Its electronic total energy is -2.9439 eV per atom. As for the density of states at the Fermi level: 1.35 states/eV/cell.


5.
First-principles (PBE) data for crystalline Cd2PtSe at its relaxed geometry, as listed in Alexandria via LeMat-Bulk.

a = 3.623 Å, b = 3.624 Å, c = 5.982 Å
α = 90.00°, β = 90.00°, γ = 90.00°
Element x y z (fractional)
Cd: 0.000 0.000 0.011
Pt: 0.500 0.500 0.250
Se: 0.500 0.500 0.750
Cd: 0.000 0.000 0.489

Output
The calculation puts the formation energy without anion corrections at -0.14 eV per atom. Its electronic total energy is -2.9756 eV per atom. As for the density of states at the Fermi level: 1.11 states/eV/cell.


6.
First-principles (PBE) data for crystalline Cd2PtSe at its relaxed geometry, as listed in Alexandria via LeMat-Bulk.

a = 6.887 Å, b = 6.887 Å, c = 4.357 Å
α = 76.40°, β = 76.40°, γ = 25.65°
Element x y z (fractional)
Cd: 0.562 0.562 0.452
Pt: 0.250 0.250 0.250
Cd: 0.938 0.938 0.048
Se: 0.750 0.750 0.750

Output
The calculation puts the formation energy without anion corrections at -0.07 eV per atom. Its electronic total energy is -2.9062 eV per atom. As for the density of states at the Fermi level: 1.16 states/eV/cell.


7.
First-principles (PBE) data for crystalline Cd2Pt2Se at its relaxed geometry, as listed in Alexandria via LeMat-Bulk.

a = 6.979 Å, b = 6.979 Å, c = 3.973 Å
α = 90.00°, β = 90.00°, γ = 90.00°
Element x y z (fractional)
Pt: 0.857 0.643 0.000
Se: 0.000 0.000 0.000
Pt: 0.143 0.357 0.000
Cd: 0.658 0.842 0.500
Pt: 0.643 0.143 0.000
Cd: 0.842 0.342 0.500
Cd: 0.342 0.158 0.500
Pt: 0.357 0.857 0.000
Se: 0.500 0.500 0.000
Cd: 0.158 0.658 0.500

Output
The calculation puts the formation energy without anion corrections at -0.14 eV per atom. Its electronic total energy is -3.6215 eV per atom. As for the density of states at the Fermi level: 2.77 states/eV/cell.


8.
First-principles (PBE) data for crystalline CdPt2Se at its relaxed geometry, as listed in Alexandria via LeMat-Bulk.

a = 2.965 Å, b = 5.084 Å, c = 4.720 Å
α = 90.00°, β = 90.00°, γ = 90.00°
Element x y z (fractional)
Pt: 0.000 0.000 0.000
Pt: 0.500 0.500 0.000
Se: 0.500 0.000 0.500
Cd: 0.000 0.500 0.500

Output
The calculation puts the formation energy without anion corrections at 0.04 eV per atom. Its electronic total energy is -4.0768 eV per atom. As for the density of states at the Fermi level: 1.26 states/eV/cell.


9.
First-principles (PBE) data for crystalline Cd2PtSe at its relaxed geometry, as listed in Alexandria via LeMat-Bulk.

a = 4.085 Å, b = 3.885 Å, c = 5.568 Å
α = 69.72°, β = 90.00°, γ = 90.00°
Element x y z (fractional)
Cd: 0.500 0.276 0.324
Pt: 0.000 0.708 0.461
Se: 0.500 0.548 0.778
Cd: 0.000 0.969 0.937

Output
The calculation puts the formation energy without anion corrections at -0.20 eV per atom. Its electronic total energy is -3.0353 eV per atom. As for the density of states at the Fermi level: 1.14 states/eV/cell.


10.
First-principles (PBE) data for crystalline CdPt2Se at its relaxed geometry, as listed in Alexandria via LeMat-Bulk.

a = 5.027 Å, b = 5.027 Å, c = 5.027 Å
α = 131.13°, β = 131.13°, γ = 71.61°
Element x y z (fractional)
Se: 0.250 0.750 0.500
Pt: 0.000 0.000 0.000
Cd: 0.750 0.250 0.500
Pt: 0.500 0.500 0.000

Output
The calculation puts the formation energy without anion corrections at 0.10 eV per atom. Its electronic total energy is -4.0172 eV per atom. As for the density of states at the Fermi level: 4.81 states/eV/cell.


11.
First-principles (PBE) data for crystalline Cd2PtSe at its relaxed geometry, as listed in Alexandria via LeMat-Bulk.

a = 3.083 Å, b = 3.083 Å, c = 8.441 Å
α = 90.00°, β = 90.00°, γ = 90.00°
Element x y z (fractional)
Pt: 0.000 0.000 0.507
Cd: 0.000 0.000 0.005
Cd: 0.500 0.500 0.278
Se: 0.500 0.500 0.709

Output
The calculation puts the formation energy without anion corrections at 0.04 eV per atom. Its electronic total energy is -2.7956 eV per atom. As for the density of states at the Fermi level: 1.40 states/eV/cell.


12.
First-principles (PBE) data for crystalline Cd2PtSe at its relaxed geometry, as listed in Alexandria via LeMat-Bulk.

a = 6.257 Å, b = 6.257 Å, c = 7.493 Å
α = 65.32°, β = 65.32°, γ = 90.00°
Element x y z (fractional)
Cd: 0.375 0.375 0.750
Se: 0.500 0.500 0.000
Cd: 0.875 0.875 0.750
Pt: 0.000 0.000 0.000
Cd: 0.625 0.125 0.250
Pt: 0.750 0.250 0.500
Cd: 0.125 0.625 0.250
Se: 0.250 0.750 0.500

Output
The calculation puts the formation energy without anion corrections at 0.01 eV per atom. Its electronic total energy is -2.8334 eV per atom. As for the density of states at the Fermi level: 0.00 states/eV/cell.


13.
First-principles (PBE) data for crystalline CdPt2Se at its relaxed geometry, as listed in Alexandria via LeMat-Bulk.

a = 3.462 Å, b = 3.569 Å, c = 6.007 Å
α = 90.00°, β = 90.00°, γ = 90.00°
Element x y z (fractional)
Pt: 0.000 0.000 0.010
Se: 0.000 0.000 0.421
Pt: 0.500 0.500 0.284
Cd: 0.500 0.500 0.784

Output
The calculation puts the formation energy without anion corrections at -0.07 eV per atom. Its electronic total energy is -4.1891 eV per atom. As for the density of states at the Fermi level: 2.07 states/eV/cell.


14.
First-principles (PBE) data for crystalline CdPt2Se at its relaxed geometry, as listed in Alexandria via LeMat-Bulk.

a = 5.478 Å, b = 5.478 Å, c = 5.478 Å
α = 142.50°, β = 132.41°, γ = 62.12°
Element x y z (fractional)
Pt: 0.963 0.963 0.000
Cd: 0.265 0.765 0.500
Pt: 0.732 0.232 0.500
Se: 0.540 0.540 0.000

Output
The calculation puts the formation energy without anion corrections at -0.05 eV per atom. Its electronic total energy is -4.1738 eV per atom. As for the density of states at the Fermi level: 1.39 states/eV/cell.


15.
First-principles (PBE) data for crystalline CdPt2Se at its relaxed geometry, as listed in Alexandria via LeMat-Bulk.

a = 4.808 Å, b = 4.808 Å, c = 5.237 Å
α = 76.54°, β = 76.54°, γ = 36.94°
Element x y z (fractional)
Pt: 0.991 0.991 0.007
Cd: 0.750 0.750 0.750
Pt: 0.509 0.509 0.493
Se: 0.250 0.250 0.250

Output
The calculation puts the formation energy without anion corrections at 0.02 eV per atom. Its electronic total energy is -4.1046 eV per atom. As for the density of states at the Fermi level: 2.75 states/eV/cell.